Model a:
BeP3C GGA-PBE optimized geometry; theoretical density = 2981 kg/m³; total moment = 0.00 μB per formula unit
1.0
-2.9040 2.6806 0.5407
0.3901 -0.3746 3.9520
2.7066 2.9300 0.0105
P C Be
3 1 1
direct
0.0000 0.5000 0.0000
0.0000 0.0000 0.5000
0.5000 0.0000 0.0000
0.0000 0.0000 0.0000
0.5000 0.5000 0.5000

Model b:
BeP3C GGA-PBE optimized geometry; theoretical density = 2684 kg/m³; total moment = 0.00 μB per formula unit
1.0
4.1311 0.0000 0.0000
0.0000 4.1311 0.0000
0.0000 0.0000 4.1311
P C Be
3 1 1
direct
0.0000 0.5000 0.0000
0.0000 0.0000 0.5000
0.5000 0.0000 0.0000
0.5000 0.5000 0.5000
0.0000 0.0000 0.0000

Which one sits at the top of the stability order? model a does.

Model a:
BeP2CS GGA-PBE optimized geometry; theoretical density = 2627 kg/m³; total moment = 0.00 μB per formula unit
1.0
-3.3490 1.4460 -1.9337
-1.5778 -3.8134 -0.1190
-1.8888 0.6639 3.7677
P S C Be
2 1 1 1
direct
0.0000 0.5000 0.0000
0.5000 0.0000 0.0000
0.0000 0.0000 0.5000
0.5000 0.5000 0.5000
0.0000 0.0000 0.0000

Model b:
BeP2CS GGA-PBE optimized geometry; theoretical density = 2942 kg/m³; total moment = 0.00 μB per formula unit
1.0
-3.2044 2.1094 -1.0161
-2.3410 -2.8557 1.4541
0.0433 1.8425 3.6883
P S C Be
2 1 1 1
direct
0.0000 0.5000 0.0000
0.5000 0.0000 0.0000
0.0000 0.0000 0.5000
0.0000 0.0000 0.0000
0.5000 0.5000 0.5000

Which one sits at the top of the stability order? model b does.

Model a:
PaBeC GGA-PBE optimized geometry; theoretical density = 10334 kg/m³; total moment = 0.00 μB per formula unit
1.0
-0.7954 3.1460 2.1151
-0.6709 -3.4075 4.8160
6.8483 0.7387 1.4767
Pa Be C
4 4 4
direct
0.2500 0.3532 0.1579
0.7500 0.6468 0.8421
0.7500 0.1468 0.6579
0.2500 0.8532 0.3421
0.2500 0.5022 0.5912
0.7500 0.4978 0.4088
0.7500 0.9978 0.0912
0.2500 0.0022 0.9088
0.2500 0.8329 0.6939
0.7500 0.1671 0.3061
0.7500 0.6671 0.1939
0.2500 0.3329 0.8061

Model b:
PaBeC GGA-PBE optimized geometry; theoretical density = 11487 kg/m³; total moment = 0.00 μB per formula unit
1.0
-0.7664 0.9706 -3.8859
-0.3562 -3.1130 -0.7073
-2.5366 1.7354 0.9338
Be C Pa
1 1 1
direct
0.1667 0.3333 0.6667
0.1666 0.0000 0.0000
0.6667 0.6667 0.3333

Which one sits at the top of the stability order? model b does.

Model a:
PaBeC GGA-PBE optimized geometry; theoretical density = 9649 kg/m³; total moment = 0.00 μB per formula unit
1.0
-0.9352 -1.5236 3.0115
3.3728 0.6109 1.3565
-1.5658 6.7089 0.8720
Pa C Be
2 2 2
direct
0.1515 0.2500 0.8031
0.8485 0.7500 0.1969
0.3296 0.2500 0.1594
0.6704 0.7500 0.8406
0.4586 0.2500 0.4170
0.5414 0.7500 0.5830

Model b:
PaBeC GGA-PBE optimized geometry; theoretical density = 9213 kg/m³; total moment = 0.00 μB per formula unit
1.0
3.7165 0.0000 0.0000
0.0000 3.7165 0.0000
-1.8583 -1.8583 3.2891
Be C Pa
1 1 1
direct
0.6666 0.6666 0.3332
0.9139 0.9139 0.8278
0.2695 0.2695 0.5390

Which one sits at the top of the stability order? model a does.

Model a:
Pa2BeC GGA-PBE optimized geometry; theoretical density = 11459 kg/m³; total moment = 0.00 μB per formula unit
1.0
4.0345 0.0000 0.0000
2.0173 3.4940 0.0000
2.0173 1.1647 4.9663
Be C Pa
1 1 2
direct
0.0000 0.0000 0.0000
0.5000 0.5000 0.5000
0.7646 0.7646 0.7062
0.2354 0.2354 0.2938

Model b:
Pa2BeC GGA-PBE optimized geometry; theoretical density = 12652 kg/m³; total moment = 0.00 μB per formula unit
1.0
-0.0713 1.3127 -2.7183
2.4941 -1.5061 -0.7927
-3.9164 -5.2143 -2.4153
Be C Pa
1 1 2
direct
0.5000 0.5000 0.5000
0.5000 0.5000 0.0000
0.0000 0.0000 0.7846
0.0000 0.0000 0.2154

Which one sits at the top of the stability order? model b does.

Model a:
BePb2C GGA-PBE optimized geometry; theoretical density = 9434 kg/m³; total moment = 0.00 μB per formula unit
1.0
-1.5912 1.3033 4.3014
-4.6202 -0.4752 1.0774
-1.3886 -3.3148 3.1332
Pb Be C
2 1 1
direct
0.2500 0.2500 0.2500
0.7500 0.7500 0.7500
0.0000 0.0000 0.0000
0.5000 0.5000 0.5000

Model b:
BePb2C GGA-PBE optimized geometry; theoretical density = 8223 kg/m³; total moment = 0.00 μB per formula unit
1.0
-0.4699 2.9372 4.9942
1.2699 -4.8366 2.9640
5.4615 0.2417 3.7546
Pb Be C
4 2 2
direct
0.6547 0.1250 0.2500
0.0953 0.6250 0.2500
0.3750 0.3453 0.7500
0.8750 0.9047 0.7500
0.5000 0.5000 0.0000
0.2500 0.7500 0.5000
0.0000 0.0000 0.0000
0.7500 0.2500 0.5000

Which one sits at the top of the stability order? model b does.

Model a:
Be2PbC GGA-PBE optimized geometry; theoretical density = 7171 kg/m³; total moment = 0.00 μB per formula unit
1.0
-0.3380 -3.8746 -1.7551
1.1413 -3.4572 2.2254
-2.9781 -2.7203 1.3921
Pb Be C
1 2 1
direct
0.5000 0.5000 0.5000
0.2500 0.2500 0.2500
0.7500 0.7500 0.7500
0.0000 0.0000 0.0000

Model b:
Be2PbC GGA-PBE optimized geometry; theoretical density = 6580 kg/m³; total moment = 0.00 μB per formula unit
1.0
5.5342 0.0000 0.0000
0.0000 5.5342 0.0000
2.7671 2.7671 3.9097
Pb Be C
2 4 2
direct
0.0000 0.0000 0.0000
0.7500 0.2500 0.5000
0.3755 0.1250 0.2500
0.3745 0.6250 0.2500
0.3750 0.6245 0.7500
0.8750 0.6255 0.7500
0.5000 0.5000 0.0000
0.2500 0.7500 0.5000

Which one sits at the top of the stability order? model b does.

Model a:
BePd2C GGA-PBE optimized geometry; theoretical density = 6672 kg/m³; total moment = 0.00 μB per formula unit
1.0
5.0257 0.0000 0.0000
0.0000 5.0257 0.0000
2.5129 2.5129 4.6086
Be C Pd
2 2 4
direct
0.5000 0.5000 0.0000
0.2500 0.7500 0.5000
0.0000 0.0000 0.0000
0.7500 0.2500 0.5000
0.6682 0.1250 0.2500
0.0818 0.6250 0.2500
0.3750 0.3318 0.7500
0.8750 0.9182 0.7500

Model b:
BePd2C GGA-PBE optimized geometry; theoretical density = 8645 kg/m³; total moment = 0.00 μB per formula unit
1.0
0.0000 2.8214 2.8214
2.8214 0.0000 2.8214
2.8214 2.8214 0.0000
Be C Pd
1 1 2
direct
0.0000 0.0000 0.0000
0.5000 0.5000 0.5000
0.2500 0.2500 0.2500
0.7500 0.7500 0.7500

Which one sits at the top of the stability order? model a does.